# Li2LaS

Crystalline Li2LaS at its relaxed geometry (GGA-PBE, the Alexandria database).

The structure in POSCAR format:
```
Li2LaS
1.0
-1.148 -1.923 -3.391
2.672 -2.962 0.775
-7.399 -8.224 4.731
S Li La
2 4 2
Cartesian
0.762 -2.442 -1.308 S
-1.982 -6.814 2.099 S
-1.697 -2.730 0.745 Li
-0.859 -5.046 -0.341 Li
-3.729 -9.384 2.929 Li
-5.464 -9.058 0.897 Li
0.000 0.000 0.000 La
-3.892 -6.294 0.016 La
```

Electronic total energy = -15.906 eV per formula unit
Magnetic moment = 0.00 μB/f.u.
Formation energy (no corrections) = -0.756 eV/atom
Space-group type = No. 122
Crystal system = tetragonal


# NpGe2Ru4

Crystalline NpGe2Ru4 at its relaxed geometry (GGA-PBE, the Alexandria database).

The structure in POSCAR format:
```
NpGe2Ru4
1.0
3.936 0.000 0.000
0.000 7.637 0.000
0.000 0.000 7.637
Np Ge Ru
2 4 8
Cartesian
1.968 0.000 0.000 Np
0.000 3.819 3.819 Np
0.000 1.661 5.976 Ge
0.000 5.976 1.661 Ge
1.968 5.480 5.480 Ge
1.968 2.157 2.157 Ge
0.000 0.615 2.649 Ru
0.000 7.022 4.988 Ru
1.968 1.169 4.434 Ru
1.968 6.468 3.204 Ru
1.968 3.204 6.468 Ru
1.968 4.434 1.169 Ru
0.000 2.649 0.615 Ru
0.000 4.988 7.022 Ru
```

Electronic total energy = -60.730 eV per formula unit
Magnetic moment = 3.27 μB/f.u.
Space-group type = No. 136
Crystal system = tetragonal
Formation enthalpy at 0 K = -0.207 eV/atom


# Ti2NiH2

Crystalline Ti2NiH2 at its relaxed geometry (GGA-PBE, the Alexandria database).

The structure in POSCAR format:
```
Ti2NiH2
1.0
-0.950 -1.162 2.539
-0.459 -2.580 -1.353
4.534 -3.451 1.829
Ni H Ti
1 2 2
Cartesian
0.000 0.000 0.000 Ni
1.440 -3.242 2.481 H
1.685 -3.951 0.535 H
0.765 -2.314 0.940 Ti
2.360 -4.879 2.075 Ti
```

Energy relative to the lowest polymorph listed for this composition = 13 meV/atom
Electronic total energy = -30.335 eV per formula unit
Magnetic moment = 0.00 μB/f.u.
Space-group type = No. 139
Crystal system = tetragonal


# Sc5Sn4H

Crystalline Sc5Sn4H at its relaxed geometry (GGA-PBE, the Alexandria database).

The structure in POSCAR format:
```
Sc5Sn4H
1.0
-2.440 5.140 -0.127
-1.914 2.089 -6.188
-6.762 -0.040 0.769
Sc Sn H
5 4 1
Cartesian
-8.855 5.126 -1.499 Sc
-6.709 2.906 -5.093 Sc
-4.340 4.145 -0.449 Sc
-2.194 1.924 -4.042 Sc
-1.200 2.527 -0.062 Sc
-6.656 3.027 -1.915 Sn
-7.513 5.718 -4.070 Sn
-3.550 1.362 -1.472 Sn
-4.407 4.053 -3.627 Sn
-0.283 0.596 -0.015 H
```

Electronic total energy = -54.595 eV per formula unit
Magnetic moment = 0.01 μB/f.u.
Space-group type = No. 79
Crystal system = tetragonal